[1]
Cd2NiPb PBE optimized geometry; space-group type = I-42d, No. 122; distance to the lowest polymorph of the same formula = 0.2246 eV per atom
1.0
-2.0665 2.0665 10.4049
2.0665 -2.0665 10.4049
2.0665 2.0665 -10.4049
Cd Ni Pb
4 2 2
direct
0.1037 0.6250 0.9787 Cd
0.3750 0.3537 0.4787 Cd
0.6463 0.1250 0.0213 Cd
0.8750 0.8963 0.5213 Cd
0.0000 0.0000 0.0000 Ni
0.7500 0.2500 0.5000 Ni
0.2500 0.7500 0.5000 Pb
0.5000 0.5000 0.0000 Pb



[2]
Cd2NiPb PBE optimized geometry; space-group type = Pm, No. 6; distance to the lowest polymorph of the same formula = 0.0645 eV per atom
1.0
4.2726 0.0000 0.0000
0.0000 3.2159 0.0000
-2.0973 0.0000 6.4404
Cd Ni Pb
2 1 1
direct
0.0000 0.0000 0.0000 Cd
0.3851 0.5000 0.7669 Cd
0.2150 0.0000 0.4278 Ni
0.6783 0.5000 0.3536 Pb



[3]
Cd2NiPb PBE optimized geometry; space-group type = R3m, No. 160; distance to the lowest polymorph of the same formula = 0.0994 eV per atom
1.0
1.6395 0.9466 9.4113
-1.6395 0.9466 9.4113
0.0000 -1.8932 9.4113
Cd Ni Pb
2 1 1
direct
0.0000 0.0000 0.0000 Cd
0.2380 0.2380 0.2380 Cd
0.7339 0.7339 0.7339 Ni
0.4696 0.4696 0.4696 Pb



[4]
Cd2NiPb PBE optimized geometry; space-group type = P4/mmm, No. 123; distance to the lowest polymorph of the same formula = 0.1744 eV per atom
1.0
4.1902 0.0000 0.0000
0.0000 4.1902 0.0000
0.0000 0.0000 4.7789
Cd Ni Pb
2 1 1
direct
0.0000 0.5000 0.0000 Cd
0.5000 0.0000 0.0000 Cd
0.0000 0.0000 0.5000 Ni
0.5000 0.5000 0.5000 Pb



[5]
Cd2NiPb PBE optimized geometry; space-group type = I-4m2, No. 119; distance to the lowest polymorph of the same formula = 0.1775 eV per atom
1.0
-2.1992 2.1992 4.3068
2.1992 -2.1992 4.3068
2.1992 2.1992 -4.3068
Cd Ni Pb
2 1 1
direct
0.0000 0.0000 0.0000 Cd
0.7500 0.2500 0.5000 Cd
0.2500 0.7500 0.5000 Ni
0.5000 0.5000 0.0000 Pb



[6]
Cd2NiPb PBE optimized geometry; space-group type = Fm-3m, No. 225; distance to the lowest polymorph of the same formula = 0.2636 eV per atom
1.0
0.0000 3.5073 3.5073
3.5073 0.0000 3.5073
3.5073 3.5073 0.0000
Cd Ni Pb
2 1 1
direct
0.2500 0.2500 0.2500 Cd
0.7500 0.7500 0.7500 Cd
0.0000 0.0000 0.0000 Ni
0.5000 0.5000 0.5000 Pb



[7]
CdNiPdPb PBE optimized geometry; space-group type = F-43m, No. 216
1.0
0.0000 3.3049 3.3049
3.3049 0.0000 3.3049
3.3049 3.3049 0.0000
Cd Ni Pd Pb
1 1 1 1
direct
0.0000 0.0000 0.0000 Cd
0.7500 0.7500 0.7500 Ni
0.2500 0.2500 0.2500 Pd
0.5000 0.5000 0.5000 Pb



[8]
RbCdNiPb2 PBE optimized geometry; space-group type = P4/mmm, No. 123
1.0
5.2820 0.0000 0.0000
0.0000 5.2820 0.0000
0.0000 0.0000 5.2952
Rb Cd Ni Pb
1 1 1 2
direct
0.0000 0.0000 0.0000 Rb
0.5000 0.5000 0.0000 Cd
0.5000 0.5000 0.5000 Ni
0.0000 0.5000 0.5000 Pb
0.5000 0.0000 0.5000 Pb



| no. | density of states at the Fermi level (states/eV per atom) | energy of formation (eV per atom) |
| --- | --- | --- |
| 1 | 0.5899 | 0.295 |
| 2 | 0.6167 | 0.135 |
| 3 | 0.4532 | 0.170 |
| 4 | 0.5260 | 0.245 |
| 5 | 0.4951 | 0.248 |
| 6 | 0.4912 | 0.334 |
| 7 | 0.5438 | -0.028 |
| 8 | 0.8090 | 0.064 |